# 1
VASP calculation (PBE-GGA) on an optimized crystal structure of TaOsRh2.

Output
total energy = -9.59 eV per atom
formation enthalpy at 0 K = -0.1392 eV/atom
M_tot = 0.0 μB/f.u.
excess energy over the best structure of this formula in the dataset = 111 kJ/mol of formula units

a = 2.761 Å, b = 2.761 Å, c = 7.897 Å
α = 90.00°, β = 90.00°, γ = 90.00°
Space group P4/mmm (No. 123)
One atom of each set of equivalent atoms:
Ta1 0.000 0.000 0.000
Os1 0.000 0.000 0.500
Rh1 0.500 0.500 0.260

# 2
VASP calculation (PBE-GGA) on an optimized crystal structure of TaOs2Rh.

Output
total energy = -10.39 eV per atom
formation enthalpy at 0 K = 0.0228 eV/atom
M_tot = 0.0 μB/f.u.
excess energy over the best structure of this formula in the dataset = 118 kJ/mol of formula units

a = 2.7761 Å, b = 2.7761 Å, c = 27.3847 Å
α = 90.00°, β = 90.00°, γ = 120.00°
Space group R3m (No. 160, hexagonal axes)
One atom of each set of equivalent atoms:
Ta1 0.0000 0.0000 0.0000
Os1 0.0000 0.0000 0.2444
Os2 0.0000 0.0000 0.4996
Rh1 0.0000 0.0000 0.7501

# 3
VASP calculation (PBE-GGA) on an optimized crystal structure of TaOsRh2.

Output
total energy = -9.68 eV per atom
formation enthalpy at 0 K = -0.2335 eV/atom
M_tot = 0.0 μB/f.u.
excess energy over the best structure of this formula in the dataset = 75 kJ/mol of formula units

a = 9.142 Å, b = 2.775 Å, c = 4.833 Å
α = 90.00°, β = 99.94°, γ = 90.00°
Space group Cm (No. 8)
One atom of each set of equivalent atoms:
Ta1 0.000 0.000 0.000
Os1 0.251 0.500 0.283
Rh1 0.251 0.000 0.759
Rh2 0.495 0.000 0.492

# 4
VASP calculation (PBE-GGA) on an optimized crystal structure of TaOsRh.

Output
total energy = -10.29 eV per atom
formation enthalpy at 0 K = -0.1473 eV/atom
M_tot = 0.0 μB/f.u.
excess energy over the best structure of this formula in the dataset = 60 kJ/mol of formula units

a = 2.775 Å, b = 3.931 Å, c = 8.540 Å
α = 90.00°, β = 90.00°, γ = 90.00°
Space group Imm2 (No. 44)
One atom of each set of equivalent atoms:
Ta1 0.000 0.000 0.000
Os1 0.000 0.000 0.334
Rh1 0.000 0.000 0.674

# 5
VASP calculation (PBE-GGA) on an optimized crystal structure of Ta2OsRh.

Output
total energy = -10.93 eV per atom
formation enthalpy at 0 K = -0.3623 eV/atom
M_tot = 0.0 μB/f.u.

a = 5.923 Å, b = 9.591 Å, c = 4.576 Å
α = 90.00°, β = 90.00°, γ = 90.00°
Space group Cmcm (No. 63)
One atom of each set of equivalent atoms:
Ta1 0.249 0.141 0.250
Os1 0.000 0.388 0.250
Rh1 0.000 0.093 0.750

# 6
VASP calculation (PBE-GGA) on an optimized crystal structure of TaOs2Rh.

Output
total energy = -10.33 eV per atom
formation enthalpy at 0 K = 0.0887 eV/atom
M_tot = 0.0 μB/f.u.
excess energy over the best structure of this formula in the dataset = 144 kJ/mol of formula units

a = 3.288 Å, b = 3.288 Å, c = 5.698 Å
α = 90.00°, β = 90.00°, γ = 90.00°
Space group P4/mmm (No. 123)
One atom of each set of equivalent atoms:
Ta1 0.000 0.000 0.000
Os1 0.500 0.500 0.260
Rh1 0.000 0.000 0.500

# 7
VASP calculation (PBE-GGA) on an optimized crystal structure of Ta2OsRh.

Output
total energy = -10.92 eV per atom
formation enthalpy at 0 K = -0.3521 eV/atom
M_tot = 0.0 μB/f.u.

a = 5.936 Å, b = 7.283 Å, c = 2.992 Å
α = 90.00°, β = 90.00°, γ = 90.00°
Space group Cmmm (No. 65)
One atom of each set of equivalent atoms:
Ta1 0.250 0.250 0.000
Os1 0.000 0.000 0.500
Rh1 0.000 0.500 0.500

# 8
VASP calculation (PBE-GGA) on an optimized crystal structure of TaOs2Rh.

Output
total energy = -10.32 eV per atom
formation enthalpy at 0 K = 0.0986 eV/atom
M_tot = 0.0 μB/f.u.
excess energy over the best structure of this formula in the dataset = 148 kJ/mol of formula units

a = 2.7626 Å, b = 2.7626 Å, c = 27.6394 Å
α = 90.00°, β = 90.00°, γ = 120.00°
Space group R-3m (No. 166, hexagonal axes)
One atom of each set of equivalent atoms:
Ta1 0.0000 0.0000 0.0000
Os1 0.0000 0.0000 0.2467
Rh1 0.0000 0.0000 0.5000